TmTcClO4 | PBE-GGA | optimized geometry

Summary:
symmetry: C2/m, No. 12
density of states at the Fermi level: 4.719 states/eV/cell
total magnetic moment: 0.143 μB per atom
formation energy (no corrections): -2071 meV/atom

a = 6.223 Å, b = 6.223 Å, c = 6.821 Å
α = 102.50°, β = 102.50°, γ = 68.96°
Sites, in units of the cell vectors:
Tm1 0.218 0.218 0.096
Tm2 0.782 0.782 0.904
Tc1 0.366 0.366 0.717
Tc2 0.634 0.634 0.283
Cl1 0.009 0.009 0.767
Cl2 0.991 0.991 0.233
O1 0.115 0.483 0.854
O2 0.283 0.283 0.458
O3 0.458 0.458 0.212
O4 0.483 0.115 0.854
O5 0.517 0.885 0.146
O6 0.542 0.542 0.788
O7 0.717 0.717 0.542
O8 0.885 0.517 0.146